Record 1
Computed, not measured: a relaxed RbGa2IrAu crystal at the GGA-PBE level of DFT.

Results
Energy of formation from the pure elements ... -0.24 eV per atom
Density ... 7.99 g/cm3
E_tot ... -4.07 eV/atom
DOS at the Fermi energy ... 1.5 states/eV per cell
Symmetry ... No. 123
V ... 25.5 Å³ per atom

abc: 4.819 4.819 5.497
angles: 90.00 90.00 90.00
Fractional coordinates of all 5 atoms:
Ga 0.000 0.500 0.000
Au 0.000 0.000 0.500
Ga 0.500 0.000 0.000
Ir 0.000 0.000 0.000
Rb 0.500 0.500 0.500



Record 2
Computed, not measured: a relaxed CdCI2O crystal at the GGA-PBE level of DFT.

Results
Density ... 4.58 g/cm3
E_tot ... -2.86 eV/atom
Polymorph energy (0 for the lowest one) ... 0 meV per atom
DOS at the Fermi energy ... 2.4 states/eV per cell
Symmetry ... No. 123
V ... 28.6 Å³ per atom

abc: 6.982 6.982 2.931
angles: 90.00 90.00 90.00
Fractional coordinates of all 5 atoms:
I 0.000 0.500 0.000
C 0.000 0.000 0.000
Cd 0.500 0.500 0.500
I 0.500 0.000 0.000
O 0.000 0.000 0.500